## TlCoRe2 (meta-GGA SCAN)

Data for TlCoRe2 at its PBEsol-relaxed geometry.

Computed properties:
The spin magnetization comes out at 1.5 μB per cell. For the volume, the calculation gives 15.11 Å³ per atom. For the formation energy, the calculation gives 55 kJ per mole of atoms. Its offset from the most stable computed form is 0 meV/atom. As for the symmetry: P4mm.

```
TlCoRe2
1.0
2.8425 0.0000 0.0000
0.0000 2.8425 0.0000
0.0000 0.0000 7.4786
Tl Re Co
1 2 1
Cartesian
0.0000 0.0000 3.8714
0.0000 0.0000 7.3966
1.4213 1.4213 1.6321
1.4213 1.4213 5.7965
```

## Tl2CoRe (meta-GGA SCAN)

Data for Tl2CoRe at its PBEsol-relaxed geometry.

Computed properties:
The spin magnetization comes out at 3.3 μB per cell. For the volume, the calculation gives 17.40 Å³ per atom. For the formation energy, the calculation gives 103 kJ per mole of atoms. Its offset from the most stable computed form is 56 meV/atom. As for the symmetry: I-4m2.

```
Tl2CoRe
1.0
-3.8433 0.0194 -0.9620
0.6132 -3.0028 -2.5107
0.7854 -1.4004 4.9927
Tl Re Co
2 1 1
Cartesian
-2.3365 -1.4363 1.1472
0.0000 0.0000 0.0000
-0.1082 -2.9475 0.3729
-1.6150 -1.4917 -1.7363
```

## TlCoRe2 (meta-GGA SCAN)

Data for TlCoRe2 at its PBEsol-relaxed geometry.

Computed properties:
The spin magnetization comes out at 2.0 μB per cell. For the volume, the calculation gives 15.38 Å³ per atom. For the formation energy, the calculation gives 62 kJ per mole of atoms. Its offset from the most stable computed form is 63 meV/atom. As for the symmetry: Pmm2.

```
TlCoRe2
1.0
-0.7647 -1.2036 -2.4451
-1.3576 -2.9885 1.8957
-5.1236 2.5482 0.3480
Co Re Tl
1 2 1
Cartesian
-5.0175 -0.1284 -0.0060
-2.1011 -1.5788 -0.2041
-0.0327 0.0163 0.0022
-2.6564 1.3211 0.1804
```

## TlCoRe2 (meta-GGA SCAN)

Data for TlCoRe2 at its PBEsol-relaxed geometry.

Computed properties:
The spin magnetization comes out at 0.0 μB per cell. For the volume, the calculation gives 15.01 Å³ per atom. For the formation energy, the calculation gives 93 kJ per mole of atoms. Its offset from the most stable computed form is 388 meV/atom. As for the symmetry: P4/mmm.

```
TlCoRe2
1.0
3.6954 0.0000 0.0000
0.0000 3.6954 0.0000
0.0000 0.0000 4.3972
Re Tl Co
2 1 1
Cartesian
0.0000 1.8477 0.0000
1.8477 0.0000 0.0000
1.8477 1.8477 2.1986
0.0000 0.0000 2.1986
```

## TlCoRe2 (meta-GGA SCAN)

Data for TlCoRe2 at its PBEsol-relaxed geometry.

Computed properties:
The spin magnetization comes out at 0.4 μB per cell. For the volume, the calculation gives 15.32 Å³ per atom. For the formation energy, the calculation gives 67 kJ per mole of atoms. Its offset from the most stable computed form is 118 meV/atom. As for the symmetry: Immm.

```
TlCoRe2
1.0
2.7393 0.0000 0.0000
0.0000 4.3580 0.0000
-1.3697 -2.1790 5.1320
Co Re Tl
1 2 1
Cartesian
1.3697 0.0000 0.0000
1.3697 2.1790 2.9916
0.0000 0.0000 2.1404
0.0000 2.1790 0.0000
```

## Tl2CoRe (meta-GGA SCAN)

Data for Tl2CoRe at its PBEsol-relaxed geometry.

Computed properties:
The spin magnetization comes out at 0.8 μB per cell. For the volume, the calculation gives 17.43 Å³ per atom. For the formation energy, the calculation gives 98 kJ per mole of atoms. Its offset from the most stable computed form is 0 meV/atom. As for the symmetry: Cmmm.

```
Tl2CoRe
1.0
-1.0681 -2.6933 0.6552
2.1244 0.1956 -2.0671
6.2544 -0.9384 6.3387
Co Tl Re
1 2 1
Cartesian
3.6553 -1.7181 2.4634
1.6632 -0.2495 1.6857
4.5911 -0.6888 4.6530
0.5281 -1.2489 -0.7060
```

## Co2ReW (meta-GGA SCAN)

Data for Co2ReW at its PBEsol-relaxed geometry.

Computed properties:
The spin magnetization comes out at 2.8 μB per cell. For the volume, the calculation gives 12.64 Å³ per atom. For the formation energy, the calculation gives 18 kJ per mole of atoms. Its offset from the most stable computed form is 90 meV/atom. As for the symmetry: I-4m2.

```
Co2ReW
1.0
3.6922 0.0000 0.0000
0.0000 3.6922 0.0000
-1.8461 -1.8461 3.7077
Co W Re
2 1 1
Cartesian
1.8461 0.0000 1.8538
1.8461 1.8461 0.0000
0.0000 1.8461 1.8538
0.0000 0.0000 0.0000
```

## Co6ReW (meta-GGA SCAN)

Data for Co6ReW at its PBEsol-relaxed geometry.

Computed properties:
The spin magnetization comes out at 11.7 μB per cell. For the volume, the calculation gives 11.08 Å³ per atom. For the formation energy, the calculation gives 20 kJ per mole of atoms. As for the symmetry: Cmmm.

```
Co6ReW
1.0
-3.3418 1.6189 -4.8761
0.3398 -6.1120 0.3050
-8.2813 -0.1802 5.6157
Co W Re
24 4 4
Cartesian
-4.9093 -4.4216 -0.6731
-5.6417 -2.3367 0.5223
-1.5010 -2.2465 -2.2856
-4.1407 -0.0901 2.8079
-2.6643 -4.2369 0.4348
-2.2483 -0.1750 -1.0675
-3.7623 -2.4410 -3.3729
0.0000 0.0000 0.0000
-6.7667 -4.3262 3.2167
-8.6190 -0.4364 0.6098
-6.9603 -4.4662 0.7178
-2.8466 -4.3637 -2.0843
-7.5211 -2.2323 4.4175
-4.3230 -0.2071 0.3268
-1.3327 -2.0977 0.2210
-6.3740 -0.2517 1.7176
-8.4367 -0.3096 3.1289
-5.8371 -2.4733 -1.9788
-5.4462 -2.2000 3.0234
-9.0350 -4.4983 2.1121
-9.9507 -2.5756 0.8236
-7.8882 -2.5179 -0.5879
-4.5167 -0.3471 -2.1721
-3.3952 -2.1554 1.6325
-3.5620 -2.2914 -0.8880
-2.4155 -0.3263 -3.5725
-7.7213 -2.3819 1.9325
-0.5865 -4.1668 -0.9986
-4.7291 -4.2529 1.8065
-2.0607 -0.0448 1.3974
-6.2206 -0.1354 4.2183
-6.5542 -0.4204 -0.7620
```

## Co2ReW (meta-GGA SCAN)

Data for Co2ReW at its PBEsol-relaxed geometry.

Computed properties:
The spin magnetization comes out at 0.6 μB per cell. For the volume, the calculation gives 12.48 Å³ per atom. For the formation energy, the calculation gives 14 kJ per mole of atoms. Its offset from the most stable computed form is 46 meV/atom. As for the symmetry: I4/mmm.

```
Co2ReW
1.0
3.6913 0.0000 0.0000
0.0000 3.6913 0.0000
-1.8457 -1.8457 3.6625
Co W Re
2 1 1
Cartesian
0.0000 1.8457 1.8313
1.8457 0.0000 1.8313
1.8457 1.8457 0.0000
0.0000 0.0000 0.0000
```

## CoReW (meta-GGA SCAN)

Data for CoReW at its PBEsol-relaxed geometry.

Computed properties:
The spin magnetization comes out at 1.4 μB per cell. For the volume, the calculation gives 15.03 Å³ per atom. For the formation energy, the calculation gives 69 kJ per mole of atoms. As for the symmetry: F-43m.

```
CoReW
1.0
-1.9489 -2.3070 2.6156
-2.1182 -3.1324 -1.2898
1.2799 -3.7137 0.7294
Co W Re
1 1 1
Cartesian
-0.6968 -2.2883 0.5138
-1.3936 -4.5765 1.0276
0.0000 0.0000 0.0000
```

## Co2ReW (meta-GGA SCAN)

Data for Co2ReW at its PBEsol-relaxed geometry.

Computed properties:
The spin magnetization comes out at 0.0 μB per cell. For the volume, the calculation gives 12.40 Å³ per atom. For the formation energy, the calculation gives 9 kJ per mole of atoms. Its offset from the most stable computed form is 0 meV/atom. As for the symmetry: Pmm2.

```
Co2ReW
1.0
-1.8853 0.6377 -1.6990
-2.7405 0.3072 3.1561
1.0453 4.3742 0.4819
W Co Re
1 2 1
Cartesian
-2.1065 1.3360 0.8237
-0.6308 3.2477 1.9189
0.0389 0.1628 0.0179
-0.3593 2.7597 -0.5806
```

## YCoRe2 (meta-GGA SCAN)

Data for YCoRe2 at its PBEsol-relaxed geometry.

Computed properties:
The spin magnetization comes out at 1.5 μB per cell. For the volume, the calculation gives 16.17 Å³ per atom. For the formation energy, the calculation gives 37 kJ per mole of atoms. Its offset from the most stable computed form is 0 meV/atom. As for the symmetry: P2/m.

```
YCoRe2
1.0
3.0132 0.0121 0.0000
-0.7101 4.5672 0.0000
0.0000 0.0000 4.6984
Y Re Co
1 2 1
Cartesian
-0.3550 2.2836 2.3492
1.4853 3.5203 0.0000
0.8179 1.0590 0.0000
1.5066 0.0061 2.3492
```